Crystalline Zn3CO3 at its relaxed geometry, computed with PBE.

Calculated values
Raw formation energy   -0.11 eV per atom
Crystal system   cubic

a = 5.673 Å, b = 5.673 Å, c = 5.673 Å
α = 90.00°, β = 90.00°, γ = 90.00°
Space group Pm-3n (No. 223)
Symmetry-distinct sites (fractional):
Zn: 0.000 0.250 0.500 x6
C: 0.000 0.000 0.000 x2
O: 0.000 0.500 0.250 x6